CdCo2RuC: optimized geometry, PBE.

Computed properties:
DOS at the Fermi energy ... 6.52 states/eV/cell
ΔE_f ... 0.89 eV/f.u.
Magnetic moment ... 2.060 μB/cell

a b c (Å): 3.909 3.909 4.030
angles (deg): 90.00 90.00 90.00
Space group P4/mmm (No. 123)
One atom of each set of equivalent atoms:
Cd 0.000 0.000 0.000 [1 per cell]
Co 0.000 0.500 0.500 [2 per cell]
Ru 0.500 0.500 0.000 [1 per cell]
C 0.500 0.500 0.500 [1 per cell]

=====

La10NdY4: optimized geometry, PBE.

Computed properties:
DOS at the Fermi energy ... 46.62 states/eV/cell
ΔE_f ... 2.96 eV/f.u.
Magnetic moment ... 0.000 μB/cell

a b c (Å): 11.613 11.613 8.015
angles (deg): 90.00 90.00 90.00
Space group I4/mmm (No. 139)
One atom of each set of equivalent atoms:
La 0.000 0.217 0.208 [16 per cell]
La 0.000 0.500 0.250 [4 per cell]
Nd 0.000 0.000 0.500 [2 per cell]
Y 0.228 0.228 0.500 [8 per cell]

=====

TbZn2Ag3: optimized geometry, PBE.

Computed properties:
DOS at the Fermi energy ... 12.99 states/eV/cell
Polymorph energy (0 for the lowest one) ... 47.9 meV/atom
ΔE_f ... -0.90 eV/f.u.
Magnetic moment ... 0.000 μB/cell

a b c (Å): 9.675 8.986 5.387
angles (deg): 90.00 90.00 90.00
Space group Cmcm (No. 63)
One atom of each set of equivalent atoms:
Tb 0.000 0.163 0.250 [4 per cell]
Zn 0.243 0.500 0.000 [8 per cell]
Ag 0.000 0.484 0.750 [4 per cell]
Ag 0.170 0.233 0.750 [8 per cell]

=====

Be5AlNi6: optimized geometry, PBE.

Computed properties:
DOS at the Fermi energy ... 13.00 states/eV/cell
ΔE_f ... -5.60 eV/f.u.
Magnetic moment ... 0.000 μB/cell

a b c (Å): 3.747 11.244 5.412
angles (deg): 90.00 90.00 90.00
Space group Cmmm (No. 65)
One atom of each set of equivalent atoms:
Be 0.000 0.000 0.000 [2 per cell]
Be 0.000 0.332 0.500 [4 per cell]
Be 0.000 0.335 0.000 [4 per cell]
Al 0.000 0.000 0.500 [2 per cell]
Ni 0.000 0.171 0.243 [8 per cell]
Ni 0.000 0.500 0.235 [4 per cell]

=====

CoSb4P: optimized geometry, PBE.

Computed properties:
Formation energy (no corrections) ... 1.066 eV per atom
DOS at the Fermi energy ... 41.44 states/eV/cell
Magnetic moment ... 9.652 μB/cell

a b c (Å): 8.570 8.570 8.570
angles (deg): 90.00 90.00 90.00
Space group F-43m (No. 216)
One atom of each set of equivalent atoms:
Co 0.000 0.000 0.000 [4 per cell]
Sb 0.125 0.125 0.375 [16 per cell]
P 0.250 0.250 0.750 [4 per cell]

=====

CsBi2Te4: optimized geometry, PBE.

Computed properties:
Formation energy (no corrections) ... -0.326 eV per atom
DOS at the Fermi energy ... 23.29 states/eV/cell
Magnetic moment ... 0.001 μB/cell

a b c (Å): 4.438 15.063 16.983
angles (deg): 90.00 90.00 90.00
Space group Cmcm (No. 63)
One atom of each set of equivalent atoms:
Cs 0.000 0.090 0.250 [4 per cell]
Bi 0.000 0.361 0.061 [8 per cell]
Te 0.000 0.000 0.000 [4 per cell]
Te 0.000 0.274 0.604 [8 per cell]
Te 0.000 0.374 0.250 [4 per cell]

=====

La12Y7Er: optimized geometry, PBE.

Computed properties:
DOS at the Fermi energy ... 85.15 states/eV/cell
Polymorph energy (0 for the lowest one) ... 16.3 meV/atom
ΔE_f ... 3.98 eV/f.u.
Magnetic moment ... 0.003 μB/cell

a b c (Å): 19.7001 19.7001 6.3757
angles (deg): 90.00 90.00 120.00
Space group R-3 (No. 148, hexagonal axes)
One atom of each set of equivalent atoms:
La 0.9998 0.4080 0.4991 [18 per cell]
La 0.0959 0.5477 0.9731 [18 per cell]
Y 0.0000 0.0000 0.5000 [3 per cell]
Y 0.0820 0.1646 0.8004 [18 per cell]
Er 0.0000 0.0000 0.0000 [3 per cell]

=====

Nd8CS6: optimized geometry, PBE.

Computed properties:
Formation energy (no corrections) ... -1.182 eV per atom
DOS at the Fermi energy ... 10.21 states/eV/cell
Magnetic moment ... 0.001 μB/cell

a b c (Å): 10.1216 10.1216 4.1685
angles (deg): 90.00 90.00 120.00
Space group P-3 (No. 147)
One atom of each set of equivalent atoms:
Nd 0.0286 0.3032 0.2373 [6 per cell]
Nd 0.3333 0.6667 0.7530 [2 per cell]
C 0.0000 0.0000 0.0000 [1 per cell]
S 0.1277 0.6492 0.2539 [6 per cell]